Record 1
Density functional theory data (GGA-PBE) for a geometry-optimized Y5Cd4Ag structure.

```
Y5Cd4Ag
1.0
3.729 0.000 0.000
0.000 3.729 0.000
0.000 0.000 18.664
Y Cd Ag
5 4 1
Direct
0.000 0.000 0.000 Y
0.000 0.000 0.202 Y
0.000 0.000 0.405 Y
0.000 0.000 0.595 Y
0.000 0.000 0.798 Y
0.500 0.500 0.101 Cd
0.500 0.500 0.302 Cd
0.500 0.500 0.698 Cd
0.500 0.500 0.899 Cd
0.500 0.500 0.500 Ag
```

Values from the calculation:
Energy of formation from the pure elements: -347 meV/atom
Space group: P4/mmm, No. 123
Crystal system: tetragonal


Record 2
Density functional theory data (GGA-PBE) for a geometry-optimized LuMnCo2 structure.

```
LuMnCo2
1.0
4.243 0.000 0.000
0.000 4.243 0.000
0.000 0.000 3.183
Lu Mn Co
1 1 2
Direct
0.000 0.000 0.000 Lu
0.500 0.500 0.000 Mn
0.000 0.500 0.500 Co
0.500 0.000 0.500 Co
```

Values from the calculation:
Energy of formation from the pure elements: -55 meV/atom
Energy above the lowest structure with this stoichiometry: 0.23 kcal/mol of atoms
Space group: P4/mmm, No. 123
Crystal system: tetragonal


no.,magnetic moment (μB/f.u.),energy (eV/atom)
1,0.00,-4.23
2,4.65,-7.03